No. 1
Crystalline HfAsBr2Cl at its relaxed geometry, computed with PBE.

It has space group P4/mmm (No. 123), with a = 5.1596 Å, b = 5.1596 Å, c = 5.3931 Å, α = 90.00°, β = 90.00° and γ = 90.00°. Symmetry generates all atoms from Hf at (0.0000, 0.0000, 0.0000), As at (0.0000, 0.0000, 0.5000), Br at (0.0000, 0.5000, 0.0000) and Cl at (0.5000, 0.5000, 0.5000).

Its raw formation energy is -0.423 eV/atom. The value obtained for the calculated density is 5.19 g/cm³.

=====

No. 2
Crystalline KCePdS3 at its relaxed geometry, computed with PBE.

It has space group P2_1/m (No. 11), with a = 8.6062 Å, b = 4.1346 Å, c = 9.2846 Å, α = 90.00°, β = 106.37° and γ = 90.00°. Symmetry generates all atoms from K at (0.1989, 0.2500, 0.2355), Ce at (0.3162, 0.7500, 0.8398), Pd at (0.0944, 0.2500, 0.5794), S at (0.1213, 0.2500, 0.8630), S at (0.2079, 0.7500, 0.5344) and S at (0.4606, 0.7500, 0.1512).

Its raw formation energy is -1.317 eV/atom. The value obtained for the calculated density is 4.00 g/cm³.